(1)
Material: TbSmPd2
Method: DFT, GGA-PBE
State: relaxed

Lattice parameters (Å, degrees): 4.5747 5.6706 5.6706 39.27 90.00 90.00
Element x y z (fractional)
Tb 0.0000 0.0000 0.0000
Sm 0.5000 0.2743 0.2743
Pd 0.0000 0.7217 0.7217
Pd 0.5000 0.5496 0.5496

Calculated values
* SG: Amm2
* energy relative to the elements: -875 meV per atom
* spin magnetization: 0.00 μB per cell
* energy above the most stable polymorph in this dataset: 0.000 eV/atom
* N(E_F): 0.6700 states/eV per atom

(2)
Material: CaRe2Rh
Method: DFT, GGA-PBE
State: relaxed

Lattice parameters (Å, degrees): 5.4330 5.4330 5.4330 146.18 126.25 65.04
Element x y z (fractional)
Ca 0.0000 0.0000 0.0000
Re 0.2899 0.7899 0.5000
Re 0.4929 0.4929 0.0000
Rh 0.7250 0.2250 0.5000

Calculated values
* SG: Imm2
* energy relative to the elements: 469 meV per atom
* spin magnetization: 0.00 μB per cell
* energy above the most stable polymorph in this dataset: 0.242 eV/atom
* N(E_F): 1.0993 states/eV per atom

(3)
Material: Ta2AlFe
Method: DFT, GGA-PBE
State: relaxed

Lattice parameters (Å, degrees): 5.7140 5.7140 5.7140 102.47 102.47 124.61
Element x y z (fractional)
Ta 0.0724 0.6250 0.9474
Ta 0.3750 0.3224 0.4474
Ta 0.6776 0.1250 0.0526
Ta 0.8750 0.9276 0.5526
Al 0.2500 0.7500 0.5000
Al 0.5000 0.5000 0.0000
Fe 0.0000 0.0000 0.0000
Fe 0.7500 0.2500 0.5000

Calculated values
* SG: I-42d
* energy relative to the elements: 355 meV per atom
* spin magnetization: 0.00 μB per cell
* N(E_F): 1.2005 states/eV per atom

(4)
Material: Ac2S3
Method: DFT, GGA-PBE
State: relaxed

Lattice parameters (Å, degrees): 7.8792 7.8792 7.8792 57.76 57.76 57.76
Element x y z (fractional)
Ac 0.1435 0.1435 0.1435
Ac 0.3565 0.3565 0.3565
Ac 0.6435 0.6435 0.6435
Ac 0.8565 0.8565 0.8565
S 0.0391 0.7500 0.4609
S 0.2500 0.5391 0.9609
S 0.4609 0.0391 0.7500
S 0.5391 0.9609 0.2500
S 0.7500 0.4609 0.0391
S 0.9609 0.2500 0.5391

Calculated values
* SG: R-3c
* spin magnetization: 0.00 μB per cell
* energy above the most stable polymorph in this dataset: 0.046 eV/atom
* ΔE_f (raw): -2.131 eV per atom
* N(E_F): 0.0000 states/eV per atom

(5)
Material: Ba2MgBr
Method: DFT, GGA-PBE
State: relaxed

Lattice parameters (Å, degrees): 4.1063 4.1063 9.4663 90.00 90.00 90.00
Element x y z (fractional)
Ba 0.0000 0.0000 0.2491
Ba 0.0000 0.0000 0.7509
Mg 0.5000 0.5000 0.0000
Br 0.5000 0.5000 0.5000

Calculated values
* SG: P4/mmm
* spin magnetization: 0.12 μB per cell
* energy above the most stable polymorph in this dataset: 0.028 eV/atom
* ΔE_f (raw): -0.721 eV per atom
* N(E_F): 1.0448 states/eV per atom

(6)
Material: VSiTc
Method: DFT, GGA-PBE
State: relaxed

Lattice parameters (Å, degrees): 6.7635 6.7635 3.0810 90.00 90.00 120.00
Element x y z (fractional)
V 0.0000 0.6040 0.0000
V 0.3960 0.3960 0.0000
V 0.6040 0.0000 0.0000
Si 0.0000 0.0000 0.0000
Si 0.3333 0.6667 0.5000
Si 0.6667 0.3333 0.5000
Tc 0.0000 0.2706 0.5000
Tc 0.2706 0.0000 0.5000
Tc 0.7294 0.7294 0.5000

Calculated values
* SG: P-62m
* spin magnetization: 0.00 μB per cell
* energy above the most stable polymorph in this dataset: 0.000 eV/atom
* ΔE_f (raw): -0.520 eV per atom
* N(E_F): 0.8883 states/eV per atom

(7)
Material: Pm2PrAg2Pb2
Method: DFT, GGA-PBE
State: relaxed

Lattice parameters (Å, degrees): 9.4126 9.4126 9.4126 30.78 30.78 30.78
Element x y z (fractional)
Pm 0.1358 0.1358 0.1358
Pm 0.8642 0.8642 0.8642
Pr 0.0000 0.0000 0.0000
Ag 0.4395 0.4395 0.4395
Ag 0.5605 0.5605 0.5605
Pb 0.2666 0.2666 0.2666
Pb 0.7334 0.7334 0.7334

Calculated values
* SG: R-3m
* energy relative to the elements: -312 meV per atom
* spin magnetization: 0.00 μB per cell
* N(E_F): 0.4323 states/eV per atom

(8)
Material: Cu4Tc3
Method: DFT, GGA-PBE
State: relaxed

Lattice parameters (Å, degrees): 13.3771 13.3771 13.3771 168.68 168.68 16.04
Element x y z (fractional)
Cu 0.0730 0.0730 0.0000
Cu 0.3608 0.3608 0.0000
Cu 0.6392 0.6392 0.0000
Cu 0.9270 0.9270 0.0000
Tc 0.2124 0.2124 0.0000
Tc 0.5000 0.5000 0.0000
Tc 0.7876 0.7876 0.0000

Calculated values
* SG: I4/mmm
* energy relative to the elements: 199 meV per atom
* spin magnetization: 0.00 μB per cell
* energy above the most stable polymorph in this dataset: 0.000 eV/atom
* N(E_F): 0.8623 states/eV per atom

(9)
Material: Sr2Zn2Ga3
Method: DFT, GGA-PBE
State: relaxed

Lattice parameters (Å, degrees): 6.3344 6.3344 6.8947 99.37 99.37 39.89
Element x y z (fractional)
Sr 0.1689 0.1689 0.2263
Sr 0.8311 0.8311 0.7737
Zn 0.1024 0.1024 0.6910
Zn 0.8976 0.8976 0.3090
Ga 0.4288 0.4288 0.1200
Ga 0.5000 0.5000 0.5000
Ga 0.5712 0.5712 0.8800

Calculated values
* SG: C2/m
* energy relative to the elements: -315 meV per atom
* spin magnetization: 0.00 μB per cell
* N(E_F): 0.5004 states/eV per atom

(10)
Material: MgGa2Re
Method: DFT, GGA-PBE
State: relaxed

Lattice parameters (Å, degrees): 8.8226 8.8226 8.8226 19.48 19.48 19.48
Element x y z (fractional)
Mg 0.0000 0.0000 0.0000
Ga 0.2443 0.2443 0.2443
Ga 0.7557 0.7557 0.7557
Re 0.5000 0.5000 0.5000

Calculated values
* SG: R-3m
* energy relative to the elements: 83 meV per atom
* spin magnetization: 0.00 μB per cell
* N(E_F): 0.7217 states/eV per atom

(11)
Material: KLiV3
Method: DFT, GGA-PBE
State: relaxed

Lattice parameters (Å, degrees): 4.9621 4.9621 4.9621 90.00 90.00 90.00
Element x y z (fractional)
K 0.0000 0.0000 0.0000
Li 0.5000 0.5000 0.5000
V 0.0000 0.5000 0.5000
V 0.5000 0.0000 0.5000
V 0.5000 0.5000 0.0000

Calculated values
* SG: Pm-3m
* energy relative to the elements: 1657 meV per atom
* spin magnetization: 12.06 μB per cell
* energy above the most stable polymorph in this dataset: 0.000 eV/atom
* N(E_F): 2.1772 states/eV per atom

(12)
Material: AlCrHRu2
Method: DFT, GGA-PBE
State: relaxed

Lattice parameters (Å, degrees): 4.1109 4.1109 3.3737 90.00 90.00 90.00
Element x y z (fractional)
Al 0.0000 0.0000 0.0000
Cr 0.5000 0.5000 0.0000
H 0.5000 0.5000 0.5000
Ru 0.0000 0.5000 0.5000
Ru 0.5000 0.0000 0.5000

Calculated values
* SG: P4/mmm
* spin magnetization: 2.16 μB per cell
* N(E_F): 0.9012 states/eV per atom

(13)
Material: Mg2AgSe
Method: DFT, GGA-PBE
State: relaxed

Lattice parameters (Å, degrees): 4.9412 4.9412 4.9412 60.00 60.00 60.00
Element x y z (fractional)
Mg 0.0000 0.0000 0.0000
Mg 0.2500 0.2500 0.2500
Ag 0.7500 0.7500 0.7500
Se 0.5000 0.5000 0.5000

Calculated values
* SG: F-43m
* spin magnetization: 0.00 μB per cell
* ΔE_f (raw): -0.012 eV per atom
* N(E_F): 0.8027 states/eV per atom

(14)
Material: Tm11In9Ir4
Method: DFT, GGA-PBE
State: relaxed

Lattice parameters (Å, degrees): 12.9796 12.9796 3.6599 90.00 90.00 112.51
Element x y z (fractional)
Tm 0.0000 0.0000 0.0000
Tm 0.0787 0.4164 0.0000
Tm 0.1618 0.8382 0.0000
Tm 0.3120 0.3120 0.0000
Tm 0.3744 0.6256 0.0000
Tm 0.4164 0.0787 0.0000
Tm 0.5836 0.9213 0.0000
Tm 0.6256 0.3744 0.0000
Tm 0.6880 0.6880 0.0000
Tm 0.8382 0.1618 0.0000
Tm 0.9213 0.5836 0.0000
In 0.0723 0.2165 0.5000
In 0.1555 0.6318 0.5000
In 0.2165 0.0723 0.5000
In 0.3682 0.8445 0.5000
In 0.5000 0.5000 0.5000
In 0.6318 0.1555 0.5000
In 0.7835 0.9277 0.5000
In 0.8445 0.3682 0.5000
In 0.9277 0.7835 0.5000
Ir 0.2472 0.4491 0.5000
Ir 0.4491 0.2472 0.5000
Ir 0.5509 0.7528 0.5000
Ir 0.7528 0.5509 0.5000

Calculated values
* SG: Cmmm
* energy relative to the elements: -664 meV per atom
* spin magnetization: 0.00 μB per cell
* N(E_F): 0.4277 states/eV per atom

(15)
Material: Sr3ThTl4
Method: DFT, GGA-PBE
State: relaxed

Lattice parameters (Å, degrees): 3.9836 3.9836 16.5683 90.00 90.00 90.00
Element x y z (fractional)
Sr 0.0000 0.0000 0.0000
Sr 0.0000 0.0000 0.2532
Sr 0.0000 0.0000 0.7468
Th 0.0000 0.0000 0.5000
Tl 0.5000 0.5000 0.1277
Tl 0.5000 0.5000 0.3814
Tl 0.5000 0.5000 0.6186
Tl 0.5000 0.5000 0.8723

Calculated values
* SG: P4/mmm
* energy relative to the elements: -314 meV per atom
* spin magnetization: 0.00 μB per cell
* N(E_F): 0.9354 states/eV per atom

(16)
Material: Tl2FeGePb
Method: DFT, GGA-PBE
State: relaxed

Lattice parameters (Å, degrees): 5.9086 5.9086 5.0269 90.00 90.00 90.00
Element x y z (fractional)
Tl 0.0000 0.5000 0.0000
Tl 0.5000 0.0000 0.0000
Fe 0.0000 0.0000 0.5000
Ge 0.5000 0.5000 0.5000
Pb 0.0000 0.0000 0.0000

Calculated values
* SG: P4/mmm
* energy relative to the elements: 1108 meV per atom
* spin magnetization: 2.35 μB per cell
* N(E_F): 0.8318 states/eV per atom

(17)
Material: CaLa2PdO
Method: DFT, GGA-PBE
State: relaxed

Lattice parameters (Å, degrees): 5.0758 5.0758 4.6109 90.00 90.00 90.00
Element x y z (fractional)
Ca 0.0000 0.0000 0.0000
La 0.0000 0.5000 0.5000
La 0.5000 0.0000 0.5000
Pd 0.5000 0.5000 0.0000
O 0.0000 0.0000 0.5000

Calculated values
* SG: P4/mmm
* spin magnetization: 0.00 μB per cell
* ΔE_f (raw): -1.317 eV per atom
* N(E_F): 0.8903 states/eV per atom

(18)
Material: Y2ErSe2S2
Method: DFT, GGA-PBE
State: relaxed

Lattice parameters (Å, degrees): 8.0624 8.0624 8.0624 143.57 143.57 52.47
Element x y z (fractional)
Y 0.1202 0.1202 0.0000
Y 0.8798 0.8798 0.0000
Er 0.5000 0.5000 0.0000
Se 0.3105 0.3105 0.0000
Se 0.6895 0.6895 0.0000
S 0.0000 0.5000 0.5000
S 0.5000 0.0000 0.5000

Calculated values
* SG: I4/mmm
* spin magnetization: 0.09 μB per cell
* ΔE_f (raw): -1.522 eV per atom
* N(E_F): 0.3238 states/eV per atom

(19)
Material: CeErIr2
Method: DFT, GGA-PBE
State: relaxed

Lattice parameters (Å, degrees): 4.8719 4.8719 3.4607 90.00 90.00 90.00
Element x y z (fractional)
Ce 0.0000 0.0000 0.0000
Er 0.5000 0.5000 0.0000
Ir 0.0000 0.5000 0.5000
Ir 0.5000 0.0000 0.5000

Calculated values
* SG: P4/mmm
* energy relative to the elements: -766 meV per atom
* spin magnetization: 0.17 μB per cell
* N(E_F): 0.9011 states/eV per atom

(20)
Material: La4PrDy15
Method: DFT, GGA-PBE
State: relaxed

Lattice parameters (Å, degrees): 5.0992 5.0992 25.2779 90.00 90.00 90.00
Element x y z (fractional)
La 0.0000 0.0000 0.1001
La 0.0000 0.0000 0.2997
La 0.0000 0.0000 0.7003
La 0.0000 0.0000 0.8999
Pr 0.0000 0.0000 0.5000
Dy 0.0000 0.5000 0.0000
Dy 0.0000 0.5000 0.2001
Dy 0.0000 0.5000 0.4007
Dy 0.0000 0.5000 0.5993
Dy 0.0000 0.5000 0.7999
Dy 0.5000 0.0000 0.0000
Dy 0.5000 0.0000 0.2001
Dy 0.5000 0.0000 0.4007
Dy 0.5000 0.0000 0.5993
Dy 0.5000 0.0000 0.7999
Dy 0.5000 0.5000 0.1000
Dy 0.5000 0.5000 0.3004
Dy 0.5000 0.5000 0.5000
Dy 0.5000 0.5000 0.6996
Dy 0.5000 0.5000 0.9000

Calculated values
* SG: P4/mmm
* energy relative to the elements: 28 meV per atom
* spin magnetization: 0.00 μB per cell
* N(E_F): 1.4947 states/eV per atom

| no. | DFT total energy (Ry per atom) |
| --- | --- |
| 1 | -0.4269 |
| 2 | -0.5949 |
| 3 | -0.6338 |
| 4 | -0.4595 |
| 5 | -0.1837 |
| 6 | -0.6484 |
| 7 | -0.3106 |
| 8 | -0.4839 |
| 9 | -0.1806 |
| 10 | -0.3631 |
| 11 | -0.3246 |
| 12 | -0.5289 |
| 13 | -0.1759 |
| 14 | -0.3835 |
| 15 | -0.2246 |
| 16 | -0.2349 |
| 17 | -0.4203 |
| 18 | -0.4554 |
| 19 | -0.5748 |
| 20 | -0.3416 |